No. 1
Entry from Alexandria via LeMat-Bulk: TeAsS2 after structural relaxation (PBE).

Geometry as POSCAR:
```
TeAsS2
1.0
0.607 6.937 4.895
-0.524 4.380 7.280
3.043 4.660 6.440
As Te S
1 1 2
direct
0.500 0.500 0.500 As
0.000 0.000 0.000 Te
0.893 0.893 0.893 S
0.107 0.107 0.107 S
```

Values from the calculation:
- Formation energy (no corrections): 0.428 eV/f.u.
- DOS(E_F): 1.51 states/eV per cell
- Raw total energy: -15.618 eV for the cell shown
- Energy above the lowest structure with this stoichiometry: 0.59 eV/f.u.

---

No. 2
Entry from Alexandria via LeMat-Bulk: Zr5C4O after structural relaxation (PBE).

Geometry as POSCAR:
```
Zr5C4O
1.0
-3.136 -0.783 0.828
1.013 -4.562 -0.475
3.271 2.326 7.863
Zr C O
5 4 1
direct
0.607 0.107 0.213 Zr
0.800 0.300 0.600 Zr
0.200 0.700 0.400 Zr
0.000 0.500 0.000 Zr
0.393 0.893 0.787 Zr
0.402 0.402 0.804 C
0.802 0.802 0.604 C
0.198 0.198 0.396 C
0.598 0.598 0.196 C
0.000 0.000 0.000 O
```

Values from the calculation:
- Formation energy (no corrections): -12.102 eV/f.u.
- DOS(E_F): 2.46 states/eV per cell
- Raw total energy: -96.696 eV for the cell shown

---

No. 3
Entry from Alexandria via LeMat-Bulk: ErCr2Si2 after structural relaxation (PBE).

Geometry as POSCAR:
```
ErCr2Si2
1.0
-3.308 -2.513 4.303
-1.955 2.686 4.973
0.376 0.667 -5.931
Er Cr Si
1 2 2
direct
0.000 0.000 0.000 Er
0.250 0.750 0.500 Cr
0.750 0.250 0.500 Cr
0.614 0.614 0.000 Si
0.386 0.386 0.000 Si
```

Values from the calculation:
- Formation energy (no corrections): -2.202 eV/f.u.
- DOS(E_F): 4.59 states/eV per cell
- Raw total energy: -36.858 eV for the cell shown

---

No. 4
Entry from Alexandria via LeMat-Bulk: BaMnGa after structural relaxation (PBE).

Geometry as POSCAR:
```
BaMnGa
1.0
-1.597 -3.224 -2.740
4.076 -1.957 -0.072
-2.138 -4.701 6.777
Ga Ba Mn
2 2 2
direct
0.500 0.000 0.648 Ga
0.000 0.500 0.352 Ga
0.500 0.000 0.190 Ba
0.000 0.500 0.810 Ba
0.500 0.500 0.500 Mn
0.000 0.000 0.500 Mn
```

Values from the calculation:
- DOS(E_F): 4.88 states/eV per cell
- Raw total energy: -28.654 eV for the cell shown
- Formation enthalpy at 0 K: -69 meV/atom

---

No. 5
Entry from Alexandria via LeMat-Bulk: Ac7Nd4Y after structural relaxation (PBE).

Geometry as POSCAR:
```
Ac7Nd4Y
1.0
7.419 1.942 0.962
5.575 8.194 2.643
-1.049 -0.489 9.582
Ac Nd Y
7 4 1
direct
0.747 0.504 0.005 Ac
0.253 0.496 0.995 Ac
0.972 0.282 0.664 Ac
0.028 0.718 0.336 Ac
0.219 0.781 0.668 Ac
0.500 0.000 0.000 Ac
0.781 0.219 0.332 Ac
0.525 0.726 0.331 Nd
0.475 0.274 0.669 Nd
0.719 0.780 0.666 Nd
0.281 0.220 0.334 Nd
0.000 0.000 0.000 Y
```

Values from the calculation:
- DOS(E_F): 19.97 states/eV per cell
- Raw total energy: -53.854 eV for the cell shown
- Formation enthalpy at 0 K: 37 meV/atom

---

No. 6
Entry from Alexandria via LeMat-Bulk: Be2Ga2Ir after structural relaxation (PBE).

Geometry as POSCAR:
```
Be2Ga2Ir
1.0
-6.382 1.009 0.509
-1.129 -5.537 -3.173
-0.028 -1.525 2.671
Be Ir Ga
4 2 4
direct
0.165 0.665 0.500 Be
0.665 0.835 0.500 Be
0.835 0.335 0.500 Be
0.335 0.165 0.500 Be
0.000 0.000 0.000 Ir
0.500 0.500 0.000 Ir
0.365 0.865 0.000 Ga
0.865 0.635 0.000 Ga
0.635 0.135 0.000 Ga
0.135 0.365 0.000 Ga
```

Values from the calculation:
- DOS(E_F): 2.21 states/eV per cell
- Raw total energy: -43.201 eV for the cell shown
- Formation enthalpy at 0 K: 153 meV/atom
- Energy above the lowest structure with this stoichiometry: 0.69 eV/f.u.